No. 1
Co5W7 after structural relaxation. Source: the Open Quantum Materials Database, functional GGA-PBE.

Total moment in μB/f.u.: 1.6
Energy of formation from the pure elements in eV/atom: 0.43
Crystal system: hexagonal
Space-group type: P6_3/mmc (194)

a = 4.978 Å, b = 4.978 Å, c = 16.269 Å
α = 90.00°, β = 90.00°, γ = 120.00°
Last column: magnetic moment on the atom in μB.
Fractional coordinates of all 24 atoms:
Co 0.000 0.000 0.085  0.79
Co 0.154 0.308 0.250  0.06
Co 0.154 0.846 0.250  0.07
Co 0.692 0.846 0.250  0.05
Co 0.000 0.000 0.415  0.81
Co 0.000 0.000 0.585  0.81
Co 0.308 0.154 0.750  0.05
Co 0.846 0.154 0.750  0.07
Co 0.846 0.692 0.750  0.06
Co 0.000 0.000 0.915  0.79
W 0.500 0.000 0.000  -0.03
W 0.000 0.500 0.000  0.03
W 0.500 0.500 0.000  -0.04
W 0.333 0.667 0.139  -0.02
W 0.667 0.333 0.164  0.00
W 0.667 0.333 0.336  0.00
W 0.333 0.667 0.361  -0.02
W 0.500 0.000 0.500  -0.02
W 0.000 0.500 0.500  0.01
W 0.500 0.500 0.500  -0.04
W 0.667 0.333 0.639  -0.02
W 0.333 0.667 0.664  0.00
W 0.333 0.667 0.836  0.00
W 0.667 0.333 0.861  -0.02

No. 2
Co13W16 after structural relaxation. Source: the Open Quantum Materials Database, functional GGA-PBE.

Total moment in μB/f.u.: 0.0
Energy of formation from the pure elements in eV/atom: 0.31
Crystal system: cubic
Space-group type: I-43m (217)

a = 8.069 Å, b = 8.069 Å, c = 8.069 Å
α = 109.47°, β = 109.47°, γ = 109.47°
Fractional coordinates of all 29 atoms:
Co 0.000 0.000 0.000
Co 0.686 0.420 0.000
Co 0.420 0.686 0.000
Co 0.580 0.580 0.266
Co 0.314 0.734 0.314
Co 0.734 0.314 0.314
Co 0.686 0.000 0.420
Co 0.000 0.686 0.420
Co 0.580 0.266 0.580
Co 0.266 0.580 0.580
Co 0.420 0.000 0.686
Co 0.000 0.420 0.686
Co 0.314 0.314 0.734
W 0.648 0.000 0.000
W 0.396 0.200 0.000
W 0.200 0.396 0.000
W 0.000 0.648 0.000
W 0.800 0.800 0.197
W 0.396 0.000 0.200
W 0.000 0.396 0.200
W 0.352 0.352 0.352
W 0.200 0.000 0.396
W 0.000 0.200 0.396
W 0.803 0.604 0.604
W 0.604 0.803 0.604
W 0.000 0.000 0.648
W 0.800 0.197 0.800
W 0.197 0.800 0.800
W 0.604 0.604 0.803

No. 3
Co4W25 after structural relaxation. Source: the Open Quantum Materials Database, functional GGA-PBE.

Total moment in μB/f.u.: 0.1
Energy of formation from the pure elements in eV/atom: 0.50
Crystal system: cubic
Space-group type: I-43m (217)

a = 8.478 Å, b = 8.478 Å, c = 8.478 Å
α = 109.47°, β = 109.47°, γ = 109.47°
Fractional coordinates of all 29 atoms:
Co 0.637 0.000 0.000
Co 0.000 0.637 0.000
Co 0.363 0.363 0.363
Co 0.000 0.000 0.637
W 0.000 0.000 0.000
W 0.379 0.193 0.000
W 0.193 0.379 0.000
W 0.689 0.411 0.000
W 0.411 0.689 0.000
W 0.807 0.807 0.186
W 0.379 0.000 0.193
W 0.000 0.379 0.193
W 0.589 0.589 0.278
W 0.722 0.311 0.311
W 0.311 0.722 0.311
W 0.193 0.000 0.379
W 0.000 0.193 0.379
W 0.689 0.000 0.411
W 0.000 0.689 0.411
W 0.589 0.278 0.589
W 0.278 0.589 0.589
W 0.621 0.814 0.621
W 0.814 0.621 0.621
W 0.411 0.000 0.689
W 0.000 0.411 0.689
W 0.311 0.311 0.722
W 0.807 0.186 0.807
W 0.186 0.807 0.807
W 0.621 0.621 0.814

No. 4
Co5W8 after structural relaxation. Source: the Open Quantum Materials Database, functional GGA-PBE.

Total moment in μB/f.u.: 5.6
Energy of formation from the pure elements in eV/atom: 0.61
Crystal system: trigonal
Space-group type: R-3m (166)

a = 9.190 Å, b = 9.190 Å, c = 9.190 Å
α = 32.45°, β = 32.45°, γ = 32.45°
Last column: magnetic moment on the atom in μB.
Fractional coordinates of all 13 atoms:
Co 0.000 0.000 0.000  0.67
Co 0.167 0.167 0.167  1.54
Co 0.348 0.348 0.348  1.14
Co 0.652 0.652 0.652  1.14
Co 0.833 0.833 0.833  1.54
W 0.589 0.092 0.092  -0.06
W 0.092 0.589 0.092  -0.03
W 0.908 0.908 0.411  -0.04
W 0.452 0.452 0.452  0.05
W 0.548 0.548 0.548  0.05
W 0.092 0.092 0.589  -0.04
W 0.908 0.411 0.908  -0.03
W 0.411 0.908 0.908  -0.06

No. 5
Co5W7 after structural relaxation. Source: the Open Quantum Materials Database, functional GGA-PBE.

Total moment in μB/f.u.: 5.8
Energy of formation from the pure elements in eV/atom: 0.25
Crystal system: hexagonal
Space-group type: P6_3/mmc (194)

a = 4.967 Å, b = 4.967 Å, c = 15.727 Å
α = 90.00°, β = 90.00°, γ = 120.00°
Last column: magnetic moment on the atom in μB.
Fractional coordinates of all 24 atoms:
Co 0.333 0.667 0.135  1.18
Co 0.158 0.317 0.250  1.04
Co 0.158 0.842 0.250  1.13
Co 0.683 0.842 0.250  1.02
Co 0.333 0.667 0.365  1.19
Co 0.667 0.333 0.635  1.19
Co 0.317 0.158 0.750  1.02
Co 0.842 0.158 0.750  1.13
Co 0.842 0.683 0.750  1.04
Co 0.667 0.333 0.865  1.18
W 0.500 0.000 0.000  -0.01
W 0.000 0.500 0.000  0.01
W 0.500 0.500 0.000  0.00
W 0.000 0.000 0.102  0.09
W 0.667 0.333 0.164  0.00
W 0.667 0.333 0.336  0.01
W 0.000 0.000 0.398  0.10
W 0.500 0.000 0.500  0.00
W 0.000 0.500 0.500  0.01
W 0.500 0.500 0.500  0.00
W 0.000 0.000 0.602  0.10
W 0.333 0.667 0.664  0.01
W 0.333 0.667 0.836  0.00
W 0.000 0.000 0.898  0.09

No. 6
Co5W24 after structural relaxation. Source: the Open Quantum Materials Database, functional GGA-PBE.

Total moment in μB/f.u.: 0.0
Energy of formation from the pure elements in eV/atom: 0.56
Crystal system: cubic
Space-group type: I-43m (217)

a = 8.460 Å, b = 8.460 Å, c = 8.460 Å
α = 109.47°, β = 109.47°, γ = 109.47°
Fractional coordinates of all 29 atoms:
Co 0.000 0.000 0.000
Co 0.640 0.000 0.000
Co 0.000 0.640 0.000
Co 0.360 0.360 0.360
Co 0.000 0.000 0.640
W 0.379 0.192 0.000
W 0.192 0.379 0.000
W 0.690 0.411 0.000
W 0.411 0.690 0.000
W 0.808 0.808 0.186
W 0.379 0.000 0.192
W 0.000 0.379 0.192
W 0.589 0.589 0.279
W 0.721 0.310 0.310
W 0.310 0.721 0.310
W 0.192 0.000 0.379
W 0.000 0.192 0.379
W 0.690 0.000 0.411
W 0.000 0.690 0.411
W 0.589 0.279 0.589
W 0.279 0.589 0.589
W 0.814 0.621 0.621
W 0.621 0.814 0.621
W 0.411 0.000 0.690
W 0.000 0.411 0.690
W 0.310 0.310 0.721
W 0.808 0.186 0.808
W 0.186 0.808 0.808
W 0.621 0.621 0.814

No. 7
Y2Co2W3 after structural relaxation. Source: the Open Quantum Materials Database, functional GGA-PBE.

Total moment in μB/f.u.: 0.0
Energy of formation from the pure elements in eV/atom: 0.25
Crystal system: trigonal
Space-group type: R3m (160)

a = 7.769 Å, b = 7.769 Å, c = 7.769 Å
α = 33.13°, β = 33.13°, γ = 33.13°
Fractional coordinates of all 7 atoms:
Co 0.031 0.031 0.031
Co 0.503 0.503 0.503
W 0.338 0.338 0.338
W 0.625 0.625 0.625
W 0.922 0.922 0.922
Y 0.192 0.192 0.192
Y 0.765 0.765 0.765

No. 8
Zn2CoW after structural relaxation. Source: the Open Quantum Materials Database, functional GGA-PBE.

Total moment in μB/f.u.: 0.0
Energy of formation from the pure elements in eV/atom: 0.25
Crystal system: cubic
Space-group type: F-43m (216)

a = 4.229 Å, b = 4.229 Å, c = 4.229 Å
α = 60.00°, β = 60.00°, γ = 60.00°
Fractional coordinates of all 4 atoms:
Co 0.250 0.250 0.250
W 0.500 0.500 0.500
Zn 0.000 0.000 0.000
Zn 0.750 0.750 0.750

No. 9
Zn2CoW after structural relaxation. Source: the Open Quantum Materials Database, functional GGA-PBE.

Total moment in μB/f.u.: 1.6
Energy of formation from the pure elements in eV/atom: 0.46
Crystal system: cubic
Space-group type: Fm-3m (225)

a = 4.245 Å, b = 4.245 Å, c = 4.245 Å
α = 60.00°, β = 60.00°, γ = 60.00°
Fractional coordinates of all 4 atoms:
Co 0.750 0.750 0.750
W 0.250 0.250 0.250
Zn 0.000 0.000 0.000
Zn 0.500 0.500 0.500

No. 10
ZrCoW2 after structural relaxation. Source: the Open Quantum Materials Database, functional GGA-PBE.

Total moment in μB/f.u.: 1.1
Energy of formation from the pure elements in eV/atom: 0.09
Crystal system: cubic
Space-group type: F-43m (216)

a = 4.493 Å, b = 4.493 Å, c = 4.493 Å
α = 60.00°, β = 60.00°, γ = 60.00°
Fractional coordinates of all 4 atoms:
Co 0.250 0.250 0.250
W 0.000 0.000 0.000
W 0.750 0.750 0.750
Zr 0.500 0.500 0.500

No. 11
YCo after structural relaxation. Source: the Open Quantum Materials Database, functional GGA-PBE.

Total moment in μB/f.u.: 0.0
Energy of formation from the pure elements in eV/atom: 0.24
Crystal system: cubic
Space-group type: Fm-3m (225)

a = 3.875 Å, b = 3.875 Å, c = 3.875 Å
α = 60.00°, β = 60.00°, γ = 60.00°
Fractional coordinates of all 2 atoms:
Co 0.000 0.000 0.000
Y 0.500 0.500 0.500

No. 12
YCo3 after structural relaxation. Source: the Open Quantum Materials Database, functional GGA-PBE.

Total moment in μB/f.u.: 3.6
Energy of formation from the pure elements in eV/atom: 0.06
Crystal system: hexagonal
Space-group type: P6_3/mmc (194)

a = 5.820 Å, b = 5.820 Å, c = 4.188 Å
α = 90.00°, β = 90.00°, γ = 120.00°
Last column: magnetic moment on the atom in μB.
Fractional coordinates of all 8 atoms:
Co 0.134 0.269 0.250  1.32
Co 0.134 0.866 0.250  1.35
Co 0.731 0.866 0.250  1.24
Co 0.269 0.134 0.750  1.24
Co 0.866 0.134 0.750  1.35
Co 0.866 0.731 0.750  1.32
Y 0.667 0.333 0.250  -0.19
Y 0.333 0.667 0.750  -0.19